# GGA+U Cs2Ni2F7, optimized geometry
data_Cs2Ni2F7
_chemical_formula_sum 'Cs4 Ni4 F14'
_symmetry_space_group_name_H-M 'C m m m'
_symmetry_Int_Tables_number 65
_symmetry_space_group_name_Hall '-C 2 2'
_cell_length_a 8.053
_cell_length_b 12.987
_cell_length_c 3.848
_cell_angle_alpha 90.00
_cell_angle_beta 90.00
_cell_angle_gamma 90.00
loop_
_atom_site_label
_atom_site_fract_x
_atom_site_fract_y
_atom_site_fract_z
Cs1 0.000 0.232 0.000
Ni1 0.245 0.000 0.500
F1 0.000 0.000 0.500
F2 0.218 0.500 0.000
F3 0.227 0.357 0.500
# calculated total energy: -4.01 eV/atom